Entry 1:
# BeP3, relaxed, DFT PBEsol
# crystal system = tetragonal
# energy above the most stable polymorph in this dataset = 283 meV/atom
# DOS(E_F) = 1.71 states/eV per cell
# magnetic moment = 0.0 μB/cell
# ΔH_f (0 K) = 0.409 eV per atom
data_BeP3
_chemical_formula_sum 'Be1 P3'
_space_group_name_H-M_alt 'P 4/m m m'
_space_group_IT_number 123
_space_group_name_Hall '-P 4 2'
_cell_length_a 2.393
_cell_length_b 2.393
_cell_length_c 9.605
_cell_angle_alpha 90.00
_cell_angle_beta 90.00
_cell_angle_gamma 90.00
loop_
_atom_site_label
_atom_site_type_symbol
_atom_site_fract_x
_atom_site_fract_y
_atom_site_fract_z
Be1 Be 0.000 0.000 0.000
P1 P 0.000 0.000 0.500
P2 P 0.500 0.500 0.187

***

Entry 2:
# BeZn3Cl, relaxed, DFT PBEsol
# crystal system = cubic
# DOS(E_F) = 2.31 states/eV per cell
# raw formation energy = 178 meV/atom
# magnetic moment = 0.0 μB/cell
data_BeZn3Cl
_chemical_formula_sum 'Be1 Zn3 Cl1'
_space_group_name_H-M_alt 'P m -3 m'
_space_group_IT_number 221
_space_group_name_Hall '-P 4 2 3'
_cell_length_a 4.438
_cell_length_b 4.438
_cell_length_c 4.438
_cell_angle_alpha 90.00
_cell_angle_beta 90.00
_cell_angle_gamma 90.00
loop_
_atom_site_label
_atom_site_type_symbol
_atom_site_fract_x
_atom_site_fract_y
_atom_site_fract_z
Be1 Be 0.000 0.000 0.000
Zn1 Zn 0.000 0.000 0.500
Cl1 Cl 0.500 0.500 0.500

***

Q: Which formula does entry 1 have?
A: BeP3

***

Q: Which value of DOS(E_F) does entry 1 give?
A: 1.71 states/eV per cell

***

Q: What is the formula in the second record?
A: BeZn3Cl

***

Q: What is the magnetic moment in the second record?
A: 0.0 μB/cell